# TbPr6Er3Tm2

A relaxed structure of TbPr6Er3Tm2 (PBE-GGA, the Alexandria database).

Formation enthalpy at 0 K (eV per atom): 0.01
Total energy (eV/atom): -4.648

Unit cell a=6.2807 b=10.8762 c=11.8161 alpha=90.00 beta=100.18 gamma=90.00
Closest atoms and distances in Å follow each position.
Space group C2/m (No. 12)
Asymmetric unit:
Tb (0.0000, 0.0000, 0.0000) (multiplicity 2)  6 Pr 3.58-3.59, 6 Tm 3.63
Pr (0.2495, 0.3331, 0.7499) (multiplicity 8)  3 Er 3.58, 2 Tm 3.58, 1 Tb 3.59, 6 Pr 3.62-3.63
Pr (0.2500, 0.0000, 0.7499) (multiplicity 4)  3 Er 3.58, 2 Tm 3.58, 1 Tb 3.58, 6 Pr 3.62-3.63
Er (0.0000, 0.1667, 0.5000) (multiplicity 4)  6 Pr 3.58, 6 Er 3.62-3.63
Er (0.0000, 0.5000, 0.5000) (multiplicity 2)  6 Pr 3.58, 6 Er 3.62-3.63
Tm (0.0000, 0.3334, 0.0000) (multiplicity 4)  6 Pr 3.58, 3 Tm 3.62-3.63, 3 Tb 3.63

# Mn3IrOs

A relaxed structure of Mn3IrOs (PBE-GGA, the Alexandria database).

Formation enthalpy at 0 K (eV per atom): 1.67
Excess energy over the best structure of this formula in the dataset (meV per atom): 0.0
Total energy (eV/atom): -7.850

Unit cell a=4.6249 b=4.6249 c=4.6249 alpha=90.00 beta=90.00 gamma=90.00
Closest atoms and distances in Å follow each position.
Space group Pm-3m (No. 221)
Asymmetric unit:
Mn (0.0000, 0.0000, 0.5000) (multiplicity 3)  2 Ir 2.31
Ir (0.0000, 0.0000, 0.0000) (multiplicity 1)  6 Mn 2.31
Os (0.5000, 0.5000, 0.5000) (multiplicity 1)  12 Mn 3.27

# Li6Mg2Tl3

A relaxed structure of Li6Mg2Tl3 (PBE-GGA, the Alexandria database).

Formation enthalpy at 0 K (eV per atom): -0.05
Total energy (eV/atom): -2.026

Unit cell a=3.8779 b=3.8779 c=32.0535 alpha=90.00 beta=90.00 gamma=90.00
Closest atoms and distances in Å follow each position.
Space group I4/mmm (No. 139)
Asymmetric unit:
Li (0.0000, 0.0000, 0.2201) (multiplicity 4)  5 Tl 2.90-2.91
Li (0.0000, 0.5000, 0.1226) (multiplicity 8)  4 Li 2.74, 2 Tl 2.88, 2 Mg 3.02
Mg (0.0000, 0.0000, 0.0505) (multiplicity 4)  4 Li 3.02, 4 Tl 3.18, 1 Mg 3.24
Tl (0.0000, 0.0000, 0.3107) (multiplicity 4)  9 Li 2.88-2.91
Tl (0.0000, 0.0000, 0.5000) (multiplicity 2)  8 Mg 3.18